Record 1
# HfBeGa3, optimized geometry, DFT PBE-GGA
# D(E_F)	0.511	states/eV per atom
# E_form	304	meV/atom
# volume	17.1	A^3/atom
# excess energy over the best structure of this formula in the dataset	0	meV/atom
# size of the total moment	0.00	μB/f.u.
data_HfBeGa3
_symmetry_space_group_name_H-M 'P m -3 m'
_symmetry_Int_Tables_number 221
_symmetry_space_group_name_Hall '-P 4 2 3'
_cell_length_a 4.4087
_cell_length_b 4.4087
_cell_length_c 4.4087
_cell_angle_alpha 90.00
_cell_angle_beta 90.00
_cell_angle_gamma 90.00
loop_
_atom_site_label
_atom_site_type_symbol
_atom_site_fract_x
_atom_site_fract_y
_atom_site_fract_z
Hf1 Hf 0.0000 0.0000 0.0000
Be1 Be 0.5000 0.5000 0.5000
Ga1 Ga 0.0000 0.5000 0.5000

***

Record 2
# Hf4BeGa2, optimized geometry, DFT PBE-GGA
# D(E_F)	0.378	states/eV per atom
# E_form	74	meV/atom
# volume	20.4	A^3/atom
# size of the total moment	0.00	μB/f.u.
data_Hf4BeGa2
_symmetry_space_group_name_H-M 'I 4/m m m'
_symmetry_Int_Tables_number 139
_symmetry_space_group_name_Hall '-I 4 2'
_cell_length_a 4.4718
_cell_length_b 4.4718
_cell_length_c 14.2876
_cell_angle_alpha 90.00
_cell_angle_beta 90.00
_cell_angle_gamma 90.00
loop_
_atom_site_label
_atom_site_type_symbol
_atom_site_fract_x
_atom_site_fract_y
_atom_site_fract_z
Hf1 Hf 0.0000 0.0000 0.1717
Hf2 Hf 0.0000 0.5000 0.0000
Be1 Be 0.0000 0.0000 0.0000
Ga1 Ga 0.0000 0.0000 0.3660

***

Record 3
# HfBeGa, optimized geometry, DFT PBE-GGA
# D(E_F)	0.828	states/eV per atom
# E_form	281	meV/atom
# volume	16.9	A^3/atom
# excess energy over the best structure of this formula in the dataset	698	meV/atom
# size of the total moment	0.00	μB/f.u.
data_HfBeGa
_symmetry_space_group_name_H-M 'I 4 m m'
_symmetry_Int_Tables_number 107
_symmetry_space_group_name_Hall 'I 4 -2'
_cell_length_a 3.6425
_cell_length_b 3.6425
_cell_length_c 7.6389
_cell_angle_alpha 90.00
_cell_angle_beta 90.00
_cell_angle_gamma 90.00
loop_
_atom_site_label
_atom_site_type_symbol
_atom_site_fract_x
_atom_site_fract_y
_atom_site_fract_z
Hf1 Hf 0.0000 0.0000 0.0000
Be1 Be 0.0000 0.0000 0.3547
Ga1 Ga 0.0000 0.0000 0.6523

***

Record 4
# HfBeGa, optimized geometry, DFT PBE-GGA
# D(E_F)	0.407	states/eV per atom
# E_form	-399	meV/atom
# volume	15.0	A^3/atom
# excess energy over the best structure of this formula in the dataset	18	meV/atom
# size of the total moment	0.00	μB/f.u.
data_HfBeGa
_symmetry_space_group_name_H-M 'P -6 m 2'
_symmetry_Int_Tables_number 187
_symmetry_space_group_name_Hall 'P -6 2'
_cell_length_a 3.9470
_cell_length_b 3.9470
_cell_length_c 3.3456
_cell_angle_alpha 90.00
_cell_angle_beta 90.00
_cell_angle_gamma 120.00
loop_
_atom_site_label
_atom_site_type_symbol
_atom_site_fract_x
_atom_site_fract_y
_atom_site_fract_z
Hf1 Hf 0.0000 0.0000 0.0000
Be1 Be 0.6667 0.3333 0.5000
Ga1 Ga 0.3333 0.6667 0.5000

***

Record 5
# HfBe2Ga, optimized geometry, DFT PBE-GGA
# D(E_F)	0.459	states/eV per atom
# E_form	267	meV/atom
# volume	15.3	A^3/atom
# size of the total moment	0.00	μB/f.u.
data_HfBe2Ga
_symmetry_space_group_name_H-M 'I 41/a m d'
_symmetry_Int_Tables_number 141
_cell_length_a 4.0145
_cell_length_b 4.0145
_cell_length_c 15.2278
_cell_angle_alpha 90.00
_cell_angle_beta 90.00
_cell_angle_gamma 90.00
loop_
_symmetry_equiv_pos_as_xyz
'x,y,z'
'-x,-y,-z'
'-y+1/4,x+3/4,z+1/4'
'y+1/4,-x+3/4,-z+1/4'
'-x+1/2,-y,z+1/2'
'x+1/2,y,-z+1/2'
'y+1/4,-x+1/4,z+3/4'
'-y+1/4,x+1/4,-z+3/4'
'x,-y,-z'
'-x,y,z'
'-y+1/4,-x+1/4,-z+3/4'
'y+1/4,x+1/4,z+3/4'
'-x+1/2,y,-z+1/2'
'x+1/2,-y,z+1/2'
'y+1/4,x+3/4,-z+1/4'
'-y+1/4,-x+3/4,z+1/4'
'x+1/2,y+1/2,z+1/2'
'-x+1/2,-y+1/2,-z+1/2'
'-y+3/4,x+1/4,z+3/4'
'y+3/4,-x+1/4,-z+3/4'
'-x,-y+1/2,z'
'x,y+1/2,-z'
'y+3/4,-x+3/4,z+1/4'
'-y+3/4,x+3/4,-z+1/4'
'x+1/2,-y+1/2,-z+1/2'
'-x+1/2,y+1/2,z+1/2'
'-y+3/4,-x+3/4,-z+1/4'
'y+3/4,x+3/4,z+1/4'
'-x,y+1/2,-z'
'x,-y+1/2,z'
'y+3/4,x+1/4,-z+3/4'
'-y+3/4,-x+1/4,z+3/4'
loop_
_atom_site_label
_atom_site_type_symbol
_atom_site_fract_x
_atom_site_fract_y
_atom_site_fract_z
Hf1 Hf 0.0000 0.2500 0.3750
Be1 Be 0.0000 0.0000 0.0000
Ga1 Ga 0.0000 0.2500 0.8750

***

Record 6
# Hf2BeGa4, optimized geometry, DFT PBE-GGA
# D(E_F)	0.261	states/eV per atom
# E_form	142	meV/atom
# volume	18.0	A^3/atom
# size of the total moment	0.00	μB/f.u.
data_Hf2BeGa4
_symmetry_space_group_name_H-M 'I 4/m m m'
_symmetry_Int_Tables_number 139
_symmetry_space_group_name_Hall '-I 4 2'
_cell_length_a 4.2671
_cell_length_b 4.2671
_cell_length_c 13.8217
_cell_angle_alpha 90.00
_cell_angle_beta 90.00
_cell_angle_gamma 90.00
loop_
_atom_site_label
_atom_site_type_symbol
_atom_site_fract_x
_atom_site_fract_y
_atom_site_fract_z
Hf1 Hf 0.0000 0.0000 0.1392
Be1 Be 0.0000 0.0000 0.5000
Ga1 Ga 0.0000 0.0000 0.3317
Ga2 Ga 0.0000 0.5000 0.0000

***

Record 7
# Hf3Be2Ga4, optimized geometry, DFT PBE-GGA
# D(E_F)	0.204	states/eV per atom
# E_form	-402	meV/atom
# volume	15.8	A^3/atom
# size of the total moment	0.00	μB/f.u.
data_Hf3Be2Ga4
_symmetry_space_group_name_H-M 'C 1 2/m 1'
_symmetry_Int_Tables_number 12
_cell_length_a 9.6329
_cell_length_b 4.1045
_cell_length_c 7.8061
_cell_angle_alpha 90.00
_cell_angle_beta 113.24
_cell_angle_gamma 90.00
loop_
_symmetry_equiv_pos_as_xyz
'x,y,z'
'-x,-y,-z'
'-x,y,-z'
'x,-y,z'
'x+1/2,y+1/2,z'
'-x+1/2,-y+1/2,-z'
'-x+1/2,y+1/2,-z'
'x+1/2,-y+1/2,z'
loop_
_atom_site_label
_atom_site_type_symbol
_atom_site_fract_x
_atom_site_fract_y
_atom_site_fract_z
Hf1 Hf 0.0000 0.0000 0.0000
Hf2 Hf 0.1622 0.5000 0.6665
Be1 Be 0.1131 0.5000 0.2838
Ga1 Ga 0.0671 0.0000 0.3886
Ga2 Ga 0.2129 0.5000 0.0620

***

Record 8
# Hf4BeGa3, optimized geometry, DFT PBE-GGA
# D(E_F)	0.555	states/eV per atom
# E_form	-412	meV/atom
# volume	18.1	A^3/atom
# size of the total moment	0.00	μB/f.u.
data_Hf4BeGa3
_symmetry_space_group_name_H-M 'P m m 2'
_symmetry_Int_Tables_number 25
_cell_length_a 3.6981
_cell_length_b 3.9025
_cell_length_c 10.0062
_cell_angle_alpha 90.00
_cell_angle_beta 90.00
_cell_angle_gamma 90.00
loop_
_symmetry_equiv_pos_as_xyz
'x,y,z'
'-x,-y,z'
'-x,y,z'
'x,-y,z'
loop_
_atom_site_label
_atom_site_type_symbol
_atom_site_fract_x
_atom_site_fract_y
_atom_site_fract_z
Hf1 Hf 0.0000 0.0000 0.0000
Hf2 Hf 0.0000 0.5000 0.4832
Hf3 Hf 0.5000 0.0000 0.6986
Hf4 Hf 0.5000 0.5000 0.2052
Be1 Be 0.0000 0.0000 0.2708
Ga1 Ga 0.0000 0.5000 0.7620
Ga2 Ga 0.5000 0.0000 0.4159
Ga3 Ga 0.5000 0.5000 0.9282

***

Record 9
# Hf6BeGa3, optimized geometry, DFT PBE-GGA
# D(E_F)	0.674	states/eV per atom
# E_form	-189	meV/atom
# volume	19.5	A^3/atom
# size of the total moment	0.00	μB/f.u.
data_Hf6BeGa3
_symmetry_space_group_name_H-M 'P 1 21/c 1'
_symmetry_Int_Tables_number 14
_cell_length_a 5.5746
_cell_length_b 7.5262
_cell_length_c 10.7935
_cell_angle_alpha 90.00
_cell_angle_beta 120.50
_cell_angle_gamma 90.00
loop_
_symmetry_equiv_pos_as_xyz
'x,y,z'
'-x,-y,-z'
'-x,y+1/2,-z+1/2'
'x,-y+1/2,z+1/2'
loop_
_atom_site_label
_atom_site_type_symbol
_atom_site_fract_x
_atom_site_fract_y
_atom_site_fract_z
Hf1 Hf 0.0712 0.1641 0.4476
Hf2 Hf 0.3425 0.6869 0.4457
Hf3 Hf 0.4234 0.0491 0.2612
Be1 Be 0.5000 0.0000 0.5000
Ga1 Ga 0.0000 0.0000 0.0000
Ga2 Ga 0.1338 0.1146 0.7542

***

Record 10
# Hf4Be2Ga5, optimized geometry, DFT PBE-GGA
# D(E_F)	0.284	states/eV per atom
# E_form	-367	meV/atom
# volume	16.6	A^3/atom
# size of the total moment	0.00	μB/f.u.
data_Hf4Be2Ga5
_symmetry_space_group_name_H-M 'P 1 2/m 1'
_symmetry_Int_Tables_number 10
_cell_length_a 6.7402
_cell_length_b 3.1327
_cell_length_c 8.6602
_cell_angle_alpha 90.00
_cell_angle_beta 94.81
_cell_angle_gamma 90.00
loop_
_symmetry_equiv_pos_as_xyz
'x,y,z'
'-x,-y,-z'
'-x,y,-z'
'x,-y,z'
loop_
_atom_site_label
_atom_site_type_symbol
_atom_site_fract_x
_atom_site_fract_y
_atom_site_fract_z
Hf1 Hf 0.1666 0.0000 0.3719
Hf2 Hf 0.2507 0.0000 0.9445
Be1 Be 0.0619 0.5000 0.1263
Ga1 Ga 0.1837 0.5000 0.6650
Ga2 Ga 0.4341 0.5000 0.1933
Ga3 Ga 0.5000 0.5000 0.5000

***

Record 11
# HfBeGa2, optimized geometry, DFT PBE-GGA
# D(E_F)	0.359	states/eV per atom
# E_form	-292	meV/atom
# volume	15.2	A^3/atom
# size of the total moment	0.00	μB/f.u.
data_HfBeGa2
_symmetry_space_group_name_H-M 'P 4/m m m'
_symmetry_Int_Tables_number 123
_symmetry_space_group_name_Hall '-P 4 2'
_cell_length_a 3.9101
_cell_length_b 3.9101
_cell_length_c 3.9769
_cell_angle_alpha 90.00
_cell_angle_beta 90.00
_cell_angle_gamma 90.00
loop_
_atom_site_label
_atom_site_type_symbol
_atom_site_fract_x
_atom_site_fract_y
_atom_site_fract_z
Hf1 Hf 0.0000 0.0000 0.0000
Be1 Be 0.5000 0.5000 0.0000
Ga1 Ga 0.0000 0.5000 0.5000

***

Record 12
# Hf3BeGa3, optimized geometry, DFT PBE-GGA
# D(E_F)	0.489	states/eV per atom
# E_form	-466	meV/atom
# volume	17.1	A^3/atom
# size of the total moment	0.00	μB/f.u.
data_Hf3BeGa3
_symmetry_space_group_name_H-M 'C 1 2/m 1'
_symmetry_Int_Tables_number 12
_cell_length_a 9.9521
_cell_length_b 3.8798
_cell_length_c 13.1529
_cell_angle_alpha 90.00
_cell_angle_beta 109.14
_cell_angle_gamma 90.00
loop_
_symmetry_equiv_pos_as_xyz
'x,y,z'
'-x,-y,-z'
'-x,y,-z'
'x,-y,z'
'x+1/2,y+1/2,z'
'-x+1/2,-y+1/2,-z'
'-x+1/2,y+1/2,-z'
'x+1/2,-y+1/2,z'
loop_
_atom_site_label
_atom_site_type_symbol
_atom_site_fract_x
_atom_site_fract_y
_atom_site_fract_z
Hf1 Hf 0.0171 0.0000 0.3773
Hf2 Hf 0.1062 0.0000 0.9199
Hf3 Hf 0.2438 0.0000 0.2297
Be1 Be 0.2352 0.5000 0.3827
Ga1 Ga 0.0264 0.5000 0.2331
Ga2 Ga 0.1168 0.5000 0.0748
Ga3 Ga 0.1469 0.5000 0.5423

***

Question: Which formula does entry 1 have?
Answer: HfBeGa3

***

Question: Which of these has the highest E_form?
Answer: HfBeGa3